A geometry-optimized RbNaC3 structure, computed with PBE.

Computed properties:
The energy above the most stable polymorph in this dataset comes out at 282 meV/atom. The calculation puts the density of states at the Fermi level at 8.4 states/eV/cell. For the energy of formation, the calculation gives 3.667 eV/atom. For the volume, the calculation gives 189.79 Å³/cell.

Cell lengths 5.7468, 5.7468, 5.7468 Å; angles 90.00, 90.00, 90.00 degrees
Last column: nearest neighbours and their distance in Å.
Space group Pm-3m (No. 221)
Symmetry-distinct sites (fractional):
Rb1 0.0000 0.0000 0.0000 (multiplicity 1)  6 C 2.87
Na1 0.5000 0.5000 0.5000 (multiplicity 1)  12 C 4.06
C1 0.0000 0.0000 0.5000 (multiplicity 3)  2 Rb 2.87